<P>
The following is a DFT calculation (GGA-PBE) of a relaxed structure of AuOF2.

Cell: 3.991 3.991 3.991 Å, 60.00 60.00 60.00°
Fractional positions:
Au: 0.000 0.000 0.000
O: 0.500 0.500 0.500
F: 0.250 0.250 0.250
F: 0.750 0.750 0.750

Results
D(E_F): 2.401 states/eV/atom

---

<Q>
The following is a DFT calculation (GGA-PBE) of a relaxed structure of AuOF2.

Cell: 7.918 7.918 7.918 Å, 152.91 152.91 38.69°
Fractional positions:
Au: 0.000 0.000 0.000
Au: 0.750 0.250 0.500
O: 0.250 0.750 0.500
O: 0.500 0.500 0.000
F: 0.098 0.625 0.973
F: 0.375 0.348 0.473
F: 0.652 0.125 0.027
F: 0.875 0.902 0.527

Results
D(E_F): 0.350 states/eV/atom

---

<R>
The following is a DFT calculation (GGA-PBE) of a relaxed structure of AuOF2.

Cell: 5.257 5.257 7.208 Å, 118.36 118.36 60.05°
Fractional positions:
Au: 0.177 0.177 0.262
Au: 0.823 0.823 0.738
O: 0.448 0.448 0.394
O: 0.552 0.552 0.606
F: 0.107 0.107 0.934
F: 0.220 0.220 0.567
F: 0.780 0.780 0.433
F: 0.893 0.893 0.066

Results
D(E_F): 0.373 states/eV/atom

---

<S>
The following is a DFT calculation (GGA-PBE) of a relaxed structure of AuOF2.

Cell: 7.490 7.490 7.490 Å, 22.46 22.46 22.46°
Fractional positions:
Au: 0.000 0.000 0.000
O: 0.500 0.500 0.500
F: 0.423 0.423 0.423
F: 0.577 0.577 0.577

Results
D(E_F): 0.192 states/eV/atom

---

Name the most stable of them. <R>.

---

<P>
The following is a DFT calculation (GGA-PBE) of a relaxed structure of AuOF.

Cell: 3.017 8.073 8.789 Å, 78.60 80.46 89.99°
Fractional positions:
Au: 0.177 0.209 0.150
Au: 0.178 0.709 0.150
Au: 0.822 0.291 0.850
Au: 0.823 0.791 0.850
O: 0.305 0.316 0.527
O: 0.332 0.184 0.474
O: 0.668 0.816 0.526
O: 0.695 0.684 0.473
F: 0.032 0.546 0.822
F: 0.359 0.953 0.179
F: 0.641 0.047 0.821
F: 0.968 0.454 0.178

Results
D(E_F): 0.217 states/eV/atom

---

<Q>
The following is a DFT calculation (GGA-PBE) of a relaxed structure of AuOF.

Cell: 4.369 5.056 5.106 Å, 103.21 96.91 109.53°
Fractional positions:
Au: 0.004 0.259 0.261
Au: 0.996 0.741 0.739
O: 0.260 0.677 0.460
O: 0.740 0.323 0.540
F: 0.271 0.182 0.954
F: 0.729 0.818 0.046

---

Name the most stable of them. <Q>.

---

<P>
The following is a DFT calculation (GGA-PBE) of a relaxed structure of Au2OF.

Cell: 7.297 7.297 7.297 Å, 141.89 141.89 55.00°
Fractional positions:
Au: 0.011 0.625 0.886
Au: 0.375 0.261 0.386
Au: 0.739 0.125 0.114
Au: 0.875 0.989 0.614
O: 0.000 0.000 0.000
O: 0.750 0.250 0.500
F: 0.250 0.750 0.500
F: 0.500 0.500 0.000

Results
D(E_F): 0.674 states/eV/atom

---

<Q>
The following is a DFT calculation (GGA-PBE) of a relaxed structure of Au2OF.

Cell: 4.253 4.253 4.253 Å, 60.00 60.00 60.00°
Fractional positions:
Au: 0.250 0.250 0.250
Au: 0.750 0.750 0.750
O: 0.000 0.000 0.000
F: 0.500 0.500 0.500

Results
D(E_F): 0.998 states/eV/atom

---

Name the most stable of them. <P>.

---

<P>
The following is a DFT calculation (GGA-PBE) of a relaxed structure of PAuOF2.

Cell: 4.369 4.369 3.497 Å, 90.00 90.00 90.00°
Fractional positions:
P: 0.000 0.000 0.000
Au: 0.500 0.500 0.500
O: 0.000 0.000 0.500
F: 0.000 0.500 0.000
F: 0.500 0.000 0.000

Results
D(E_F): 0.214 states/eV/atom

---

<Q>
The following is a DFT calculation (GGA-PBE) of a relaxed structure of PAuOF2.

Cell: 4.275 4.275 4.277 Å, 90.00 90.00 90.00°
Fractional positions:
P: 0.000 0.000 0.000
Au: 0.500 0.500 0.500
O: 0.500 0.500 0.000
F: 0.000 0.500 0.500
F: 0.500 0.000 0.500

Results
D(E_F): 0.591 states/eV/atom

---

Name the most stable of them. <P>.

---

<P>
The following is a DFT calculation (GGA-PBE) of a relaxed structure of RbAuOF2.

Cell: 4.906 4.906 5.115 Å, 90.00 90.00 90.00°
Fractional positions:
Rb: 0.000 0.000 0.000
Au: 0.500 0.500 0.500
O: 0.000 0.000 0.500
F: 0.000 0.500 0.000
F: 0.500 0.000 0.000

Results
D(E_F): 2.336 states/eV/atom

---

<Q>
The following is a DFT calculation (GGA-PBE) of a relaxed structure of RbAuOF2.

Cell: 4.693 4.693 3.954 Å, 90.00 90.00 90.00°
Fractional positions:
Rb: 0.000 0.000 0.000
Au: 0.500 0.500 0.500
O: 0.500 0.500 0.000
F: 0.000 0.500 0.500
F: 0.500 0.000 0.500

Results
D(E_F): 0.646 states/eV/atom

---

Name the most stable of them. <Q>.

---

<P>
The following is a DFT calculation (GGA-PBE) of a relaxed structure of ReAuOF2.

Cell: 4.400 4.400 4.202 Å, 90.00 90.00 90.00°
Fractional positions:
Re: 0.000 0.000 0.000
Au: 0.500 0.500 0.500
O: 0.500 0.500 0.000
F: 0.000 0.500 0.500
F: 0.500 0.000 0.500

Results
D(E_F): 0.395 states/eV/atom

---

<Q>
The following is a DFT calculation (GGA-PBE) of a relaxed structure of ReAuOF2.

Cell: 4.276 4.276 3.787 Å, 90.00 90.00 90.00°
Fractional positions:
Re: 0.000 0.000 0.000
Au: 0.500 0.500 0.500
O: 0.000 0.000 0.500
F: 0.000 0.500 0.000
F: 0.500 0.000 0.000

Results
D(E_F): 0.738 states/eV/atom

---

Name the most stable of them. <Q>.